A relaxed structure of Ti6VO12. Source: Alexandria, functional PBE with a Hubbard U.

The value obtained for the total DFT energy (no corrections) is -8.82 eV/atom. The crystal system is trigonal.

The space group is R-3 (No. 148, hexagonal axes) and the conventional cell measures 8.7918, 8.7918 and 9.2198 Å, with angles of 90.00, 90.00 and 120.00 degrees. The asymmetric unit holds Ti at (0.0368, 0.2506, 0.1820), V at (0.0000, 0.0000, 0.5000), O at (0.0125, 0.2169, 0.3900) and O at (0.0288, 0.1921, 0.8679).